# 1
# AlTePOs2 (PBEsol, relaxed)
# V = 114.0 Å³ per cell
# electronic total energy = -5.1986 eV per atom
# uncorrected formation energy = 2.370 eV/atom
# size of the total moment = 0.0 μB per formula unit
data_AlTePOs2
_cell_length_a 4.797
_cell_length_b 4.797
_cell_length_c 4.955
_cell_angle_alpha 90.00
_cell_angle_beta 90.00
_cell_angle_gamma 90.00
_space_group_name_H-M_alt 'P 4/m m m'
_space_group_IT_number 123
_space_group_name_Hall '-P 4 2'
loop_
_atom_site_label
_atom_site_type_symbol
_atom_site_fract_x
_atom_site_fract_y
_atom_site_fract_z
_atom_site_occupancy
Al1 Al 0.000 0.000 0.000 1
Te1 Te 0.000 0.000 0.500 1
P1 P 0.500 0.500 0.000 1
Os1 Os 0.000 0.500 0.500 1

***

# 2
# AlOsPb (PBEsol, relaxed)
# E above lowest polymorph = 0.00 eV/f.u.
# V = 118.2 Å³ per cell
# ΔH_f (0 K) = 0.3119 eV per atom
# electronic total energy = -6.4568 eV per atom
# size of the total moment = 0.0 μB per formula unit
data_AlOsPb
_cell_length_a 3.134
_cell_length_b 3.134
_cell_length_c 12.032
_cell_angle_alpha 90.00
_cell_angle_beta 90.00
_cell_angle_gamma 90.00
_space_group_name_H-M_alt 'I 4 m m'
_space_group_IT_number 107
_space_group_name_Hall 'I 4 -2'
loop_
_atom_site_label
_atom_site_type_symbol
_atom_site_fract_x
_atom_site_fract_y
_atom_site_fract_z
_atom_site_occupancy
Al1 Al 0.000 0.000 0.000 1
Os1 Os 0.000 0.000 0.597 1
Pb1 Pb 0.000 0.000 0.261 1

***

# 3
# AlOsPb (PBEsol, relaxed)
# E above lowest polymorph = 0.63 eV/f.u.
# V = 55.8 Å³ per cell
# ΔH_f (0 K) = 0.5224 eV per atom
# electronic total energy = -6.2463 eV per atom
# size of the total moment = 0.0 μB per formula unit
data_AlOsPb
_cell_length_a 4.3283
_cell_length_b 4.3283
_cell_length_c 3.4371
_cell_angle_alpha 90.00
_cell_angle_beta 90.00
_cell_angle_gamma 120.00
_space_group_name_H-M_alt 'P -6 m 2'
_space_group_IT_number 187
_space_group_name_Hall 'P -6 2'
loop_
_atom_site_label
_atom_site_type_symbol
_atom_site_fract_x
_atom_site_fract_y
_atom_site_fract_z
_atom_site_occupancy
Al1 Al 0.0000 0.0000 0.0000 1
Os1 Os 0.3333 0.6667 0.0000 1
Pb1 Pb 0.6667 0.3333 0.5000 1

***

# 4
# AlOsPb (PBEsol, relaxed)
# E above lowest polymorph = 1.33 eV/f.u.
# V = 230.7 Å³ per cell
# ΔH_f (0 K) = 0.7540 eV per atom
# electronic total energy = -6.0147 eV per atom
# size of the total moment = 0.0 μB per formula unit
data_AlOsPb
_cell_length_a 6.133
_cell_length_b 6.133
_cell_length_c 6.133
_cell_angle_alpha 90.00
_cell_angle_beta 90.00
_cell_angle_gamma 90.00
_space_group_name_H-M_alt 'F -4 3 m'
_space_group_IT_number 216
_space_group_name_Hall 'F -4 2 3'
loop_
_atom_site_label
_atom_site_type_symbol
_atom_site_fract_x
_atom_site_fract_y
_atom_site_fract_z
_atom_site_occupancy
Al1 Al 0.000 0.000 0.000 1
Os1 Os 0.250 0.250 0.750 1
Pb1 Pb 0.250 0.250 0.250 1

***

# 5
# YAl2OsPd (PBEsol, relaxed)
# V = 101.3 Å³ per cell
# ΔH_f (0 K) = 0.3286 eV per atom
# electronic total energy = -6.3073 eV per atom
# size of the total moment = 0.2 μB per formula unit
data_YAl2OsPd
_cell_length_a 4.478
_cell_length_b 4.478
_cell_length_c 5.052
_cell_angle_alpha 90.00
_cell_angle_beta 90.00
_cell_angle_gamma 90.00
_space_group_name_H-M_alt 'P 4/m m m'
_space_group_IT_number 123
_space_group_name_Hall '-P 4 2'
loop_
_atom_site_label
_atom_site_type_symbol
_atom_site_fract_x
_atom_site_fract_y
_atom_site_fract_z
_atom_site_occupancy
Y1 Y 0.000 0.000 0.000 1
Al1 Al 0.000 0.500 0.500 1
Os1 Os 0.500 0.500 0.000 1
Pd1 Pd 0.500 0.500 0.500 1

***

# 6
# Pr3Al12Os4 (PBEsol, relaxed)
# V = 653.8 Å³ per cell
# ΔH_f (0 K) = -0.5555 eV per atom
# electronic total energy = -6.5300 eV per atom
# size of the total moment = 0.0 μB per formula unit
data_Pr3Al12Os4
_cell_length_a 8.8456
_cell_length_b 8.8456
_cell_length_c 9.6485
_cell_angle_alpha 90.00
_cell_angle_beta 90.00
_cell_angle_gamma 120.00
_space_group_name_H-M_alt 'P 63/m m c'
_space_group_IT_number 194
_space_group_name_Hall '-P 6c 2c'
loop_
_atom_site_label
_atom_site_type_symbol
_atom_site_fract_x
_atom_site_fract_y
_atom_site_fract_z
_atom_site_occupancy
Pr1 Pr 0.1921 0.3841 0.2500 1
Al1 Al 0.0000 0.0000 0.2500 1
Al2 Al 0.1243 0.5622 0.7500 1
Al3 Al 0.1632 0.3263 0.5737 1
Al4 Al 0.3333 0.6667 0.0105 1
Os1 Os 0.0000 0.0000 0.0000 1
Os2 Os 0.0000 0.5000 0.0000 1

***

# 7
# PrAl10Os2 (PBEsol, relaxed)
# V = 851.5 Å³ per cell
# ΔH_f (0 K) = -0.4562 eV per atom
# electronic total energy = -5.8817 eV per atom
# size of the total moment = 0.0 μB per formula unit
data_PrAl10Os2
_cell_length_a 9.102
_cell_length_b 10.234
_cell_length_c 9.142
_cell_angle_alpha 90.00
_cell_angle_beta 90.00
_cell_angle_gamma 90.00
_space_group_name_H-M_alt 'C m c m'
_space_group_IT_number 63
_space_group_name_Hall '-C 2c 2'
loop_
_atom_site_label
_atom_site_type_symbol
_atom_site_fract_x
_atom_site_fract_y
_atom_site_fract_z
_atom_site_occupancy
Pr1 Pr 0.000 0.126 0.250 1
Al1 Al 0.000 0.160 0.602 1
Al2 Al 0.000 0.377 0.050 1
Al3 Al 0.150 0.368 0.750 1
Al4 Al 0.223 0.365 0.250 1
Al5 Al 0.226 0.000 0.000 1
Os1 Os 0.250 0.250 0.000 1

***

# 8
# Al2OsPt (PBEsol, relaxed)
# V = 114.1 Å³ per cell
# ΔH_f (0 K) = -0.4195 eV per atom
# electronic total energy = -7.2602 eV per atom
# size of the total moment = 0.0 μB per formula unit
data_Al2OsPt
_cell_length_a 8.303
_cell_length_b 2.855
_cell_length_c 4.915
_cell_angle_alpha 90.00
_cell_angle_beta 101.69
_cell_angle_gamma 90.00
_space_group_name_H-M_alt 'C 1 2/m 1'
_space_group_IT_number 12
_space_group_name_Hall '-C 2y'
loop_
_atom_site_label
_atom_site_type_symbol
_atom_site_fract_x
_atom_site_fract_y
_atom_site_fract_z
_atom_site_occupancy
Al1 Al 0.248 0.000 0.241 1
Os1 Os 0.000 0.500 0.000 1
Pt1 Pt 0.000 0.000 0.500 1